No. 1
Density functional theory data (PBE-GGA) for a relaxed Tb2Si3Mo2 crystal.

Structure (CIF):
```
data_Tb2Si3Mo2
_chemical_formula_sum 'Tb4 Si6 Mo4'
_symmetry_space_group_name_H-M 'C 1 2/m 1'
_symmetry_Int_Tables_number 12
_cell_length_a 12.1248
_cell_length_b 3.6535
_cell_length_c 6.9800
_cell_angle_alpha 90.00
_cell_angle_beta 114.21
_cell_angle_gamma 90.00
loop_
_symmetry_equiv_pos_as_xyz
'x,y,z'
'-x,-y,-z'
'-x,y,-z'
'x,-y,z'
'x+1/2,y+1/2,z'
'-x+1/2,-y+1/2,-z'
'-x+1/2,y+1/2,-z'
'x+1/2,-y+1/2,z'
loop_
_atom_site_label
_atom_site_type_symbol
_atom_site_fract_x
_atom_site_fract_y
_atom_site_fract_z
Tb1 Tb 0.1005 0.0000 0.3692
Si1 Si 0.0000 0.5000 0.0000
Si2 Si 0.2293 0.5000 0.2118
Mo1 Mo 0.1452 0.5000 0.8279
```

Output
The value obtained for the total DFT energy (no corrections) is -6.9771 eV/atom.

---

No. 2
Density functional theory data (PBE-GGA) for a relaxed TaNbGe2S4 crystal.

Structure (CIF):
```
data_TaNbGe2S4
_chemical_formula_sum 'Ta1 Nb1 Ge2 S4'
_symmetry_space_group_name_H-M 'P -6 m 2'
_symmetry_Int_Tables_number 187
_symmetry_space_group_name_Hall 'P -6 2'
_cell_length_a 3.2810
_cell_length_b 3.2810
_cell_length_c 16.9194
_cell_angle_alpha 90.00
_cell_angle_beta 90.00
_cell_angle_gamma 120.00
loop_
_atom_site_label
_atom_site_type_symbol
_atom_site_fract_x
_atom_site_fract_y
_atom_site_fract_z
Ta1 Ta 0.0000 0.0000 0.0000
Nb1 Nb 0.6667 0.3333 0.5000
Ge1 Ge 0.3333 0.6667 0.2517
S1 S 0.3333 0.6667 0.0934
S2 S 0.3333 0.6667 0.4059
```

Output
The value obtained for the total DFT energy (no corrections) is -6.6792 eV/atom.

---

No. 3
Density functional theory data (PBE-GGA) for a relaxed Cu2Ag3 crystal.

Structure (CIF):
```
data_Cu2Ag3
_chemical_formula_sum 'Cu12 Ag18'
_symmetry_space_group_name_H-M 'R 3 m'
_symmetry_Int_Tables_number 160
_symmetry_space_group_name_Hall 'R 3 -2"'
_cell_length_a 2.8500
_cell_length_b 2.8500
_cell_length_c 66.6609
_cell_angle_alpha 90.00
_cell_angle_beta 90.00
_cell_angle_gamma 120.00
loop_
_atom_site_label
_atom_site_type_symbol
_atom_site_fract_x
_atom_site_fract_y
_atom_site_fract_z
Cu1 Cu 0.0000 0.0000 0.0000
Cu2 Cu 0.0000 0.0000 0.0942
Cu3 Cu 0.0000 0.0000 0.3047
Cu4 Cu 0.0000 0.0000 0.6953
Ag1 Ag 0.0000 0.0000 0.1991
Ag2 Ag 0.0000 0.0000 0.3949
Ag3 Ag 0.0000 0.0000 0.4962
Ag4 Ag 0.0000 0.0000 0.6055
Ag5 Ag 0.0000 0.0000 0.7932
Ag6 Ag 0.0000 0.0000 0.9022
```

Output
The value obtained for the energy above the lowest structure with this stoichiometry is 0.052 eV/atom.

---

No. 4
Density functional theory data (PBE-GGA) for a relaxed HfZrGe2Pt2 crystal.

Structure (CIF):
```
data_HfZrGe2Pt2
_chemical_formula_sum 'Hf4 Zr4 Ge8 Pt8'
_symmetry_space_group_name_H-M 'P 1 m 1'
_symmetry_Int_Tables_number 6
_cell_length_a 8.7487
_cell_length_b 4.3736
_cell_length_c 13.1222
_cell_angle_alpha 90.00
_cell_angle_beta 109.46
_cell_angle_gamma 90.00
loop_
_symmetry_equiv_pos_as_xyz
'x,y,z'
'x,-y,z'
loop_
_atom_site_label
_atom_site_type_symbol
_atom_site_fract_x
_atom_site_fract_y
_atom_site_fract_z
Hf1 Hf 0.0000 0.0000 0.0000
Hf2 Hf 0.1245 0.5000 0.7501
Hf3 Hf 0.3740 0.5000 0.2493
Hf4 Hf 0.8745 0.5000 0.2491
Zr1 Zr 0.2492 0.0000 0.4993
Zr2 Zr 0.4993 0.0000 0.9998
Zr3 Zr 0.6248 0.5000 0.7499
Zr4 Zr 0.7495 0.0000 0.4992
Ge1 Ge 0.1242 0.0000 0.2489
Ge2 Ge 0.2490 0.5000 0.9997
Ge3 Ge 0.3741 0.0000 0.7500
Ge4 Ge 0.4993 0.5000 0.4993
Ge5 Ge 0.6244 0.0000 0.2495
Ge6 Ge 0.7503 0.5000 0.0003
Ge7 Ge 0.8750 0.0000 0.7498
Ge8 Ge 0.9993 0.5000 0.4991
Pt1 Pt 0.0620 0.5000 0.1244
Pt2 Pt 0.1847 0.0000 0.8740
Pt3 Pt 0.3104 0.5000 0.6256
Pt4 Pt 0.4358 0.0000 0.3726
Pt5 Pt 0.5627 0.5000 0.1264
Pt6 Pt 0.6897 0.0000 0.8759
Pt7 Pt 0.8144 0.5000 0.6254
Pt8 Pt 0.9361 0.0000 0.3725
```

Output
The value obtained for the total DFT energy (no corrections) is -7.6337 eV/atom.

---

No. 5
Density functional theory data (PBE-GGA) for a relaxed NaSmTa crystal.

Structure (CIF):
```
data_NaSmTa
_chemical_formula_sum 'Na4 Sm4 Ta4'
_symmetry_space_group_name_H-M 'F -4 3 m'
_symmetry_Int_Tables_number 216
_symmetry_space_group_name_Hall 'F -4 2 3'
_cell_length_a 7.1147
_cell_length_b 7.1147
_cell_length_c 7.1147
_cell_angle_alpha 90.00
_cell_angle_beta 90.00
_cell_angle_gamma 90.00
loop_
_atom_site_label
_atom_site_type_symbol
_atom_site_fract_x
_atom_site_fract_y
_atom_site_fract_z
Na1 Na 0.0000 0.0000 0.0000
Sm1 Sm 0.2500 0.2500 0.2500
Ta1 Ta 0.0000 0.0000 0.5000
```

Output
The value obtained for the total DFT energy (no corrections) is -4.2467 eV/atom.

---

No. 6
Density functional theory data (PBE-GGA) for a relaxed LuGaPt crystal.

Structure (CIF):
```
data_LuGaPt
_chemical_formula_sum 'Lu4 Ga4 Pt4'
_symmetry_space_group_name_H-M 'F -4 3 m'
_symmetry_Int_Tables_number 216
_symmetry_space_group_name_Hall 'F -4 2 3'
_cell_length_a 6.4759
_cell_length_b 6.4759
_cell_length_c 6.4759
_cell_angle_alpha 90.00
_cell_angle_beta 90.00
_cell_angle_gamma 90.00
loop_
_atom_site_label
_atom_site_type_symbol
_atom_site_fract_x
_atom_site_fract_y
_atom_site_fract_z
Lu1 Lu 0.0000 0.0000 0.0000
Ga1 Ga 0.2500 0.2500 0.7500
Pt1 Pt 0.2500 0.2500 0.2500
```

Output
The value obtained for the total DFT energy (no corrections) is -4.9079 eV/atom.

---

No. 7
Density functional theory data (PBE-GGA) for a relaxed HfSc2Ge3Pt3 crystal.

Structure (CIF):
```
data_HfSc2Ge3Pt3
_chemical_formula_sum 'Hf2 Sc4 Ge6 Pt6'
_symmetry_space_group_name_H-M 'A m m 2'
_symmetry_Int_Tables_number 38
_cell_length_a 3.9960
_cell_length_b 11.5836
_cell_length_c 6.7135
_cell_angle_alpha 90.00
_cell_angle_beta 90.00
_cell_angle_gamma 90.00
loop_
_symmetry_equiv_pos_as_xyz
'x,y,z'
'-x,-y,z'
'-x,y,z'
'x,-y,z'
'x,y+1/2,z+1/2'
'-x,-y+1/2,z+1/2'
'-x,y+1/2,z+1/2'
'x,-y+1/2,z+1/2'
loop_
_atom_site_label
_atom_site_type_symbol
_atom_site_fract_x
_atom_site_fract_y
_atom_site_fract_z
Hf1 Hf 0.0000 0.0000 0.0000
Sc1 Sc 0.0000 0.2113 0.3657
Ge1 Ge 0.0000 0.0000 0.5770
Ge2 Ge 0.5000 0.1674 0.0768
Pt1 Pt 0.5000 0.0000 0.3220
Pt2 Pt 0.5000 0.1267 0.7054
```

Output
The value obtained for the total DFT energy (no corrections) is -7.0449 eV/atom.

---

No. 8
Density functional theory data (PBE-GGA) for a relaxed TbInAg3O4 crystal.

Structure (CIF):
```
data_TbInAg3O4
_chemical_formula_sum 'Tb1 In1 Ag3 O4'
_symmetry_space_group_name_H-M 'P -4 3 m'
_symmetry_Int_Tables_number 215
_symmetry_space_group_name_Hall 'P -4 2 3'
_cell_length_a 5.3626
_cell_length_b 5.3626
_cell_length_c 5.3626
_cell_angle_alpha 90.00
_cell_angle_beta 90.00
_cell_angle_gamma 90.00
loop_
_atom_site_label
_atom_site_type_symbol
_atom_site_fract_x
_atom_site_fract_y
_atom_site_fract_z
Tb1 Tb 0.0000 0.0000 0.0000
In1 In 0.5000 0.5000 0.5000
Ag1 Ag 0.0000 0.0000 0.5000
O1 O 0.2528 0.2528 0.7472
```

Output
The value obtained for the total DFT energy (no corrections) is -4.6999 eV/atom.

---

no.,volume (Å³ per atom)
1,20.143
2,19.717
3,15.631
4,19.726
5,30.011
6,22.632
7,17.264
8,17.135